No. 1
Computed, not measured: HfCrSe4 after structural relaxation at the PBE level of DFT.

Structure (CIF):
```
data_HfCrSe4
_symmetry_space_group_name_H-M 'C 1 2/m 1'
_symmetry_Int_Tables_number 12
_cell_length_a 14.216
_cell_length_b 3.636
_cell_length_c 6.124
_cell_angle_alpha 90.00
_cell_angle_beta 97.11
_cell_angle_gamma 90.00
loop_
_symmetry_equiv_pos_as_xyz
'x,y,z'
'-x,-y,-z'
'-x,y,-z'
'x,-y,z'
'x+1/2,y+1/2,z'
'-x+1/2,-y+1/2,-z'
'-x+1/2,y+1/2,-z'
'x+1/2,-y+1/2,z'
loop_
_atom_site_label
_atom_site_type_symbol
_atom_site_fract_x
_atom_site_fract_y
_atom_site_fract_z
Hf1 Hf 0.000 0.000 0.000
Cr1 Cr 0.000 0.500 0.500
Se1 Se 0.108 0.000 0.384
Se2 Se 0.114 0.500 0.856
```

Values from the calculation:
Total energy: -6.460 eV/atom
Total moment: 0.38 μB per atom


No. 2
Computed, not measured: HfCrSe4 after structural relaxation at the PBE level of DFT.

Structure (CIF):
```
data_HfCrSe4
_symmetry_space_group_name_H-M 'P 1 2/m 1'
_symmetry_Int_Tables_number 10
_cell_length_a 6.129
_cell_length_b 3.638
_cell_length_c 6.806
_cell_angle_alpha 90.00
_cell_angle_beta 90.01
_cell_angle_gamma 90.00
loop_
_symmetry_equiv_pos_as_xyz
'x,y,z'
'-x,-y,-z'
'-x,y,-z'
'x,-y,z'
loop_
_atom_site_label
_atom_site_type_symbol
_atom_site_fract_x
_atom_site_fract_y
_atom_site_fract_z
Hf1 Hf 0.000 0.000 0.000
Cr1 Cr 0.500 0.500 0.000
Se1 Se 0.177 0.500 0.763
Se2 Se 0.353 0.000 0.223
```

Values from the calculation:
Total energy: -6.461 eV/atom
Total moment: 0.38 μB per atom


No. 3
Computed, not measured: HfCrSe3 after structural relaxation at the PBE level of DFT.

Structure (CIF):
```
data_HfCrSe3
_symmetry_space_group_name_H-M 'P m -3 m'
_symmetry_Int_Tables_number 221
_symmetry_space_group_name_Hall '-P 4 2 3'
_cell_length_a 5.162
_cell_length_b 5.162
_cell_length_c 5.162
_cell_angle_alpha 90.00
_cell_angle_beta 90.00
_cell_angle_gamma 90.00
loop_
_atom_site_label
_atom_site_type_symbol
_atom_site_fract_x
_atom_site_fract_y
_atom_site_fract_z
Hf1 Hf 0.000 0.000 0.000
Cr1 Cr 0.500 0.500 0.500
Se1 Se 0.000 0.000 0.500
```

Values from the calculation:
Energy relative to the lowest polymorph listed for this composition: 0.0000 eV/atom
Total moment: 0.84 μB per atom